A relaxed CoSb3P crystal. Source: the Alexandria database, functional PBE.

a b c (Å): 4.897 4.897 4.897
angles (deg): 90.00 90.00 90.00
Fractional coordinates of all 5 atoms:
Co 0.000 0.000 0.000
Sb 0.000 0.000 0.500
Sb 0.500 0.000 0.000
Sb 0.000 0.500 0.000
P 0.500 0.500 0.500

Calculated values
Mass density ... 6.44 g/cm³
Raw formation energy ... 0.5370 eV/atom

---

A relaxed ErTaRuRh crystal. Source: the Alexandria database, functional PBE.

a b c (Å): 4.624 4.624 4.624
angles (deg): 60.00 60.00 60.00
Fractional coordinates of all 4 atoms:
Ru 0.500 0.500 0.500
Er 0.250 0.250 0.250
Ta 0.750 0.750 0.750
Rh 0.000 0.000 0.000

Calculated values
Mass density ... 13.12 g/cm³
E_tot ... -8.73 eV per atom

---

A relaxed ZrGa3Bi crystal. Source: the Alexandria database, functional PBE.

a b c (Å): 5.336 5.336 5.336
angles (deg): 90.00 90.00 90.00
Each line ends with the local moment (μB).
Fractional coordinates of all 5 atoms:
Bi 0.000 0.000 0.000  0.02
Ga 0.000 0.500 0.000  0.00
Ga 0.000 0.000 0.500  0.00
Ga 0.500 0.000 0.000  0.00
Zr 0.500 0.500 0.500  0.84

Calculated values
Mass density ... 5.57 g/cm³
E_tot ... -3.25 eV per atom

---

A relaxed PuUAlMo crystal. Source: the Alexandria database, functional PBE.

a b c (Å): 4.738 4.738 4.738
angles (deg): 60.00 60.00 60.00
Each line ends with the local moment (μB).
Fractional coordinates of all 4 atoms:
Pu 0.250 0.250 0.250  4.84
U 0.000 0.000 0.000  1.38
Al 0.500 0.500 0.500  -0.01
Mo 0.750 0.750 0.750  -0.66

Calculated values
Mass density ... 13.36 g/cm³
E_tot ... -10.02 eV per atom

---

A relaxed Ho5Tl4Ir crystal. Source: the Alexandria database, functional PBE.

a b c (Å): 3.512 3.512 20.719
angles (deg): 90.00 90.00 90.00
Each line ends with the local moment (μB).
Fractional coordinates of all 10 atoms:
Tl 0.000 0.000 0.604  0.00
Tl 0.000 0.000 0.189  0.00
Tl 0.000 0.000 0.396  0.00
Tl 0.000 0.000 0.811  0.00
Ho 0.500 0.500 0.500  0.12
Ho 0.500 0.500 0.079  -0.01
Ho 0.500 0.500 0.921  -0.01
Ho 0.500 0.500 0.708  0.13
Ho 0.500 0.500 0.292  0.13
Ir 0.000 0.000 0.000  0.00

Calculated values
Mass density ... 11.92 g/cm³
E_tot ... -4.57 eV per atom

---

A relaxed YVIr crystal. Source: the Alexandria database, functional PBE.

a b c (Å): 5.626 5.806 7.769
angles (deg): 68.69 90.00 90.00
Fractional coordinates of all 12 atoms:
Y 0.616 0.311 0.377
Y 0.384 0.689 0.623
Y 0.116 0.189 0.123
Y 0.884 0.811 0.877
V 0.109 0.613 0.301
V 0.609 0.887 0.199
V 0.891 0.387 0.699
V 0.391 0.113 0.801
Ir 0.621 0.310 0.970
Ir 0.379 0.690 0.030
Ir 0.121 0.190 0.530
Ir 0.879 0.810 0.470

Calculated values
Mass density ... 9.33 g/cm³
E_tot ... -8.61 eV per atom

---

A relaxed Ba6Tm2Ga4O15 crystal. Source: the Alexandria database, functional PBE.

a b c (Å): 6.013 8.008 18.612
angles (deg): 91.34 90.00 90.00
Fractional coordinates of all 54 atoms:
O 0.766 0.955 0.393
O 0.485 0.766 0.499
O 0.755 0.470 0.089
O 0.245 0.470 0.589
O 0.986 0.767 0.509
O 0.456 0.754 0.163
O 0.485 0.234 0.001
O 0.755 0.530 0.411
O 0.014 0.767 0.009
O 0.041 0.723 0.688
O 0.959 0.723 0.188
O 0.766 0.045 0.107
O 0.515 0.234 0.501
O 0.666 0.312 0.684
O 0.515 0.766 0.999
O 0.544 0.754 0.663
O 0.334 0.688 0.316
O 0.456 0.246 0.337
O 0.334 0.312 0.184
O 0.959 0.277 0.312
O 0.014 0.233 0.491
O 0.986 0.233 0.991
O 0.234 0.955 0.893
O 0.193 0.000 0.250
O 0.245 0.530 0.911
O 0.666 0.688 0.816
O 0.234 0.045 0.607
O 0.544 0.246 0.837
O 0.041 0.277 0.812
O 0.807 0.000 0.750
Ga 0.254 0.246 0.557
Ga 0.746 0.246 0.057
Ga 0.254 0.754 0.943
Ga 0.772 0.230 0.768
Ga 0.772 0.770 0.732
Ga 0.228 0.770 0.232
Ga 0.228 0.230 0.268
Ga 0.746 0.754 0.443
Ba 0.754 0.501 0.579
Ba 0.673 0.500 0.250
Ba 0.750 0.026 0.590
Ba 0.725 0.000 0.250
Ba 0.327 0.500 0.750
Ba 0.246 0.501 0.079
Ba 0.250 0.974 0.410
Ba 0.250 0.026 0.090
Ba 0.750 0.974 0.910
Ba 0.246 0.499 0.421
Ba 0.754 0.499 0.921
Ba 0.275 0.000 0.750
Tm 0.748 0.753 0.089
Tm 0.748 0.247 0.411
Tm 0.252 0.753 0.589
Tm 0.252 0.247 0.911

Calculated values
Mass density ... 6.23 g/cm³
Raw formation energy ... -2.6265 eV/atom

---

A relaxed HfGeC2 crystal. Source: the Alexandria database, functional PBE.

a b c (Å): 4.937 4.937 5.825
angles (deg): 64.93 64.93 90.00
Fractional coordinates of all 8 atoms:
C 0.375 0.401 0.750
C 0.599 0.125 0.250
C 0.151 0.625 0.250
C 0.875 0.849 0.750
Hf 0.000 0.000 0.000
Hf 0.750 0.250 0.500
Ge 0.500 0.500 0.000
Ge 0.250 0.750 0.500

Calculated values
Mass density ... 8.04 g/cm³
E_tot ... -7.96 eV per atom

---

A relaxed Ho6ThTe8 crystal. Source: the Alexandria database, functional PBE.

a b c (Å): 8.648 8.648 8.648
angles (deg): 60.00 60.00 60.00
Fractional coordinates of all 15 atoms:
Te 0.737 0.737 0.263
Te 0.263 0.737 0.737
Te 0.263 0.737 0.263
Te 0.263 0.263 0.737
Te 0.250 0.250 0.250
Te 0.750 0.750 0.750
Te 0.737 0.263 0.263
Te 0.737 0.263 0.737
Ho 0.000 0.000 0.500
Ho 0.500 0.000 0.000
Ho 0.000 0.500 0.000
Ho 0.500 0.500 0.000
Ho 0.000 0.500 0.500
Ho 0.500 0.000 0.500
Th 0.000 0.000 0.000

Calculated values
Mass density ... 8.14 g/cm³
Raw formation energy ... -1.2815 eV/atom

---

A relaxed ZnHgAs2 crystal. Source: the Alexandria database, functional PBE.

a b c (Å): 4.316 4.316 6.815
angles (deg): 66.47 66.47 53.75
Fractional coordinates of all 4 atoms:
As 0.451 0.451 0.440
As 0.049 0.049 0.060
Hg 0.750 0.750 0.750
Zn 0.250 0.250 0.250

Calculated values
Mass density ... 7.54 g/cm³
E_tot ... -2.59 eV per atom

---

A relaxed RbHOsO6 crystal. Source: the Alexandria database, functional PBE.

a b c (Å): 5.689 5.029 5.876
angles (deg): 87.87 88.64 62.77
Fractional coordinates of all 9 atoms:
Rb 0.987 0.052 0.067
O 0.439 0.192 0.240
O 0.438 0.477 0.265
O 0.093 0.526 0.774
O 0.321 0.972 0.603
O 0.607 0.285 0.663
O 0.978 0.538 0.364
H 0.828 0.633 0.469
Os 0.309 0.324 0.554

Calculated values
Mass density ... 4.14 g/cm³
E_tot ... -5.96 eV per atom

---

A relaxed DyRuCl crystal. Source: the Alexandria database, functional PBE.

a b c (Å): 4.894 3.325 20.101
angles (deg): 116.33 83.01 42.60
Fractional coordinates of all 6 atoms:
Ru 0.437 0.672 0.453
Ru 0.563 0.328 0.547
Cl 0.336 0.477 0.852
Cl 0.664 0.523 0.148
Dy 0.600 0.511 0.289
Dy 0.400 0.489 0.711

Calculated values
Mass density ... 7.43 g/cm³
Raw formation energy ... -0.9065 eV/atom

---

no.,total moment (μB/atom)
1,0.00
2,0.00
3,0.26
4,1.42
5,0.05
6,0.00
7,0.00
8,0.00
9,0.00
10,0.00
11,0.01
12,0.00